MnSiP2O | PBE with a Hubbard U | relaxed

a = 4.6267 Å, b = 4.6267 Å, c = 3.3930 Å
α = 90.00°, β = 90.00°, γ = 90.00°
Fractional coordinates of all 5 atoms:
Mn 0.0000 0.0000 0.0000
Si 0.5000 0.5000 0.5000
P 0.0000 0.5000 0.0000
P 0.5000 0.0000 0.0000
O 0.0000 0.0000 0.5000

Summary:
E above lowest polymorph	838	meV per atom
total magnetization	0.00	μB/atom
space group	P4/mmm (123)